Computed, not measured: crystalline ThPaGe at its relaxed geometry at the PBE level of DFT.

a b c (Å): 4.3021 4.3021 8.8484
angles (deg): 104.04 104.04 90.01
Last column: nearest neighbours and their distance in Å.
Positions (direct):
Ge 0.1333 0.1333 0.2679  4 Pa 3.10, 5 Th 3.12-3.18
Ge 0.8667 0.8667 0.7321  4 Pa 3.10, 5 Th 3.12-3.18
Pa 0.5000 0.0000 0.0000  4 Pa 3.04, 4 Ge 3.10
Pa 0.0000 0.5000 0.0000  4 Pa 3.04, 4 Ge 3.10
Th 0.6740 0.6740 0.3492  5 Ge 3.12-3.18
Th 0.3260 0.3260 0.6508  5 Ge 3.12-3.18

Values from the calculation:
Its space group is C2/m (12). The spin magnetization is 0.00 μB/cell. For the energy, the calculation gives -7.714 eV per atom.